# ZnSn2Br

ZnSn2Br after structural relaxation (GGA-PBE, the Alexandria database).

Values from the calculation:
Its density of states at the Fermi level is 3.50 states/eV/f.u. Its offset from the most stable computed form is 0.022 eV/atom. Its space group is I-42d. The calculation puts the volume at 34.6 A^3/atom. The uncorrected formation energy comes out at 0.162 eV per atom. The calculation puts the size of the total moment at 0.00 μB per cell. The raw total energy comes out at -10.30 eV per formula unit.

abc: 8.1554 8.1554 8.1554
angles: 133.94 133.94 67.18
Last column: nearest neighbours and their distance in Å.
Fractional positions:
Zn1 0.0000 0.0000 0.0000  4 Sn 2.63
Zn2 0.7500 0.2500 0.5000  4 Sn 2.63
Sn1 0.0649 0.6250 0.9399  2 Zn 2.63
Sn2 0.3750 0.3149 0.4399  2 Zn 2.63
Sn3 0.6851 0.1250 0.0601  2 Zn 2.63
Sn4 0.8750 0.9351 0.5601  2 Zn 2.63
Br1 0.2500 0.7500 0.5000  4 Sn 3.06
Br2 0.5000 0.5000 0.0000  4 Sn 3.06

# ZnSn3Br

ZnSn3Br after structural relaxation (GGA-PBE, the Alexandria database).

Values from the calculation:
Its density of states at the Fermi level is 7.24 states/eV/f.u. Its offset from the most stable computed form is 0.000 eV/atom. Its space group is Pm-3m. The calculation puts the volume at 30.5 A^3/atom. The uncorrected formation energy comes out at 0.279 eV per atom. The calculation puts the size of the total moment at 0.00 μB per cell. The raw total energy comes out at -13.56 eV per formula unit.

abc: 5.3424 5.3424 5.3424
angles: 90.00 90.00 90.00
Last column: nearest neighbours and their distance in Å.
Fractional positions:
Zn1 0.0000 0.0000 0.0000  6 Sn 2.67
Sn1 0.0000 0.0000 0.5000  2 Zn 2.67
Sn2 0.0000 0.5000 0.0000  2 Zn 2.67
Sn3 0.5000 0.0000 0.0000  2 Zn 2.67
Br1 0.5000 0.5000 0.5000  12 Sn 3.78

# Zn2Sn2Br

Zn2Sn2Br after structural relaxation (GGA-PBE, the Alexandria database).

Values from the calculation:
Its density of states at the Fermi level is 2.89 states/eV/f.u. Its space group is P4/mbm. The calculation puts the volume at 24.6 A^3/atom. The uncorrected formation energy comes out at 0.009 eV per atom. The calculation puts the size of the total moment at 0.00 μB per cell. The raw total energy comes out at -12.18 eV per formula unit.

abc: 8.3450 8.3450 3.5284
angles: 90.00 90.00 90.00
Last column: nearest neighbours and their distance in Å.
Fractional positions:
Zn1 0.1097 0.3903 0.0000  1 Zn 2.59
Zn2 0.3903 0.8903 0.0000  1 Zn 2.59
Zn3 0.6097 0.1097 0.0000  1 Zn 2.59
Zn4 0.8903 0.6097 0.0000  1 Zn 2.59
Sn1 0.1948 0.6948 0.5000  6 Zn 2.90-3.17, 2 Br 3.02
Sn2 0.3052 0.1948 0.5000  6 Zn 2.90-3.17, 2 Br 3.02
Sn3 0.6948 0.8052 0.5000  6 Zn 2.90-3.17, 2 Br 3.02
Sn4 0.8052 0.3052 0.5000  6 Zn 2.90-3.17, 2 Br 3.02
Br1 0.0000 0.0000 0.5000  4 Sn 3.02
Br2 0.5000 0.5000 0.5000  4 Sn 3.02